Model A:
{"formula": "DyMg3Cu", "functional": "PBE", "state": "relaxed", "mass_density_g_cm3": 4.259, "crystal_system": "cubic", "dos_ef_per_ev_fu": 3.1, "m_tot_mub_per_cell": 0.000, "lattice": [[4.885, 0.000, 0.000], [0.000, 4.885, 0.000], [0.000, 0.000, 4.885]], "species": ["Dy", "Mg", "Mg", "Mg", "Cu"], "fractional_positions": [[0.000, 0.000, 0.000], [0.000, 0.500, 0.500], [0.500, 0.000, 0.500], [0.500, 0.500, 0.000], [0.500, 0.500, 0.500]]}

---

Model B:
{"formula": "DyMg3Cu", "functional": "PBE", "state": "relaxed", "mass_density_g_cm3": 4.527, "crystal_system": "orthorhombic", "dos_ef_per_ev_fu": 3.1, "m_tot_mub_per_cell": 0.000, "lattice": [[4.160, -6.092, 0.000], [4.160, 6.092, 0.000], [0.000, 0.000, 4.327]], "species": ["Dy", "Dy", "Mg", "Mg", "Mg", "Mg", "Mg", "Mg", "Cu", "Cu"], "fractional_positions": [[0.207, 0.793, 0.000], [0.793, 0.207, 0.000], [0.000, 0.000, 0.500], [0.175, 0.435, 0.500], [0.435, 0.175, 0.500], [0.500, 0.500, 0.000], [0.565, 0.825, 0.500], [0.825, 0.565, 0.500], [0.186, 0.186, 0.000], [0.814, 0.814, 0.000]]}

---

Of them, the most stable is model B and the least stable is model A.

---

Model A:
{"formula": "DyYMgCu", "functional": "PBE", "state": "relaxed", "mass_density_g_cm3": 5.892, "crystal_system": "cubic", "dos_ef_per_ev_fu": 4.1, "m_tot_mub_per_cell": 0.000, "lattice": [[0.000, 3.629, 3.629], [3.629, 0.000, 3.629], [3.629, 3.629, 0.000]], "species": ["Dy", "Y", "Mg", "Cu"], "fractional_positions": [[0.000, 0.000, 0.000], [0.500, 0.500, 0.500], [0.750, 0.750, 0.750], [0.250, 0.250, 0.250]]}

---

Model B:
{"formula": "DyYMgCu", "functional": "PBE", "state": "relaxed", "mass_density_g_cm3": 5.767, "crystal_system": "tetragonal", "dos_ef_per_ev_fu": 4.2, "m_tot_mub_per_cell": 0.000, "lattice": [[3.504, 0.000, 0.000], [0.000, 3.504, 0.000], [0.000, 0.000, 7.957]], "species": ["Dy", "Y", "Mg", "Cu"], "fractional_positions": [[0.000, 0.000, 0.000], [0.000, 0.000, 0.576], [0.500, 0.500, 0.288], [0.500, 0.500, 0.791]]}

---

Of them, the most stable is model B and the least stable is model A.

---

Model A:
{"formula": "Dy2MnCu", "functional": "PBE", "state": "relaxed", "mass_density_g_cm3": 8.592, "crystal_system": "cubic", "dos_ef_per_ev_fu": 4.8, "m_tot_mub_per_cell": 3.158, "lattice": [[0.000, 3.499, 3.499], [3.499, 0.000, 3.499], [3.499, 3.499, 0.000]], "species": ["Dy", "Dy", "Mn", "Cu"], "fractional_positions": [[0.250, 0.250, 0.250], [0.750, 0.750, 0.750], [0.000, 0.000, 0.000], [0.500, 0.500, 0.500]]}

---

Model B:
{"formula": "Dy2MnCu", "functional": "PBE", "state": "relaxed", "mass_density_g_cm3": 8.633, "crystal_system": "tetragonal", "dos_ef_per_ev_fu": 3.5, "m_tot_mub_per_cell": 3.128, "lattice": [[3.459, 0.000, 0.000], [0.000, 3.459, 0.000], [0.000, 0.000, 7.130]], "species": ["Dy", "Dy", "Mn", "Cu"], "fractional_positions": [[0.000, 0.000, 0.247], [0.000, 0.000, 0.753], [0.500, 0.500, 0.500], [0.500, 0.500, 0.000]]}

---

Of them, the most stable is model B and the least stable is model A.

---

Model A:
{"formula": "Dy2NbCu", "functional": "PBE", "state": "relaxed", "mass_density_g_cm3": 8.997, "crystal_system": "tetragonal", "dos_ef_per_ev_fu": 4.0, "m_tot_mub_per_cell": 0.000, "lattice": [[3.295, 0.000, 0.000], [0.000, 3.295, 0.000], [0.000, 0.000, 8.183]], "species": ["Dy", "Dy", "Nb", "Cu"], "fractional_positions": [[0.000, 0.000, 0.228], [0.000, 0.000, 0.772], [0.500, 0.500, 0.500], [0.500, 0.500, 0.000]]}

---

Model B:
{"formula": "Dy2NbCu", "functional": "PBE", "state": "relaxed", "mass_density_g_cm3": 8.728, "crystal_system": "trigonal", "dos_ef_per_ev_fu": 3.8, "m_tot_mub_per_cell": 0.901, "lattice": [[1.580, 0.912, 10.586], [-1.580, 0.912, 10.586], [0.000, -1.825, 10.586]], "species": ["Dy", "Dy", "Nb", "Cu"], "fractional_positions": [[0.094, 0.094, 0.094], [0.906, 0.906, 0.906], [0.000, 0.000, 0.000], [0.500, 0.500, 0.500]]}

---

Of them, the most stable is model A and the least stable is model B.

---

Model A:
{"formula": "NdDyCu", "functional": "PBE", "state": "relaxed", "mass_density_g_cm3": 7.684, "crystal_system": "monoclinic", "dos_ef_per_ev_fu": 3.1, "m_tot_mub_per_cell": 0.000, "lattice": [[3.741, 0.000, 0.000], [0.000, 3.907, 0.000], [-1.863, 0.000, 10.949]], "species": ["Nd", "Nd", "Dy", "Dy", "Cu", "Cu"], "fractional_positions": [[0.193, 0.250, 0.387], [0.807, 0.750, 0.613], [0.421, 0.250, 0.843], [0.579, 0.750, 0.157], [0.037, 0.250, 0.071], [0.963, 0.750, 0.929]]}

---

Model B:
{"formula": "NdDyCu", "functional": "PBE", "state": "relaxed", "mass_density_g_cm3": 7.300, "crystal_system": "cubic", "dos_ef_per_ev_fu": 4.9, "m_tot_mub_per_cell": 0.004, "lattice": [[0.000, 3.479, 3.479], [3.479, 0.000, 3.479], [3.479, 3.479, 0.000]], "species": ["Nd", "Dy", "Cu"], "fractional_positions": [[0.000, 0.000, 0.000], [0.500, 0.500, 0.500], [0.250, 0.250, 0.250]]}

---

Model C:
{"formula": "NdDyCu", "functional": "PBE", "state": "relaxed", "mass_density_g_cm3": 7.837, "crystal_system": "tetragonal", "dos_ef_per_ev_fu": 3.7, "m_tot_mub_per_cell": 0.000, "lattice": [[-1.768, 1.768, 6.273], [1.768, -1.768, 6.273], [1.768, 1.768, -6.273]], "species": ["Nd", "Dy", "Cu"], "fractional_positions": [[0.000, 0.000, 0.000], [0.277, 0.277, 0.000], [0.653, 0.653, 0.000]]}

---

Of them, the most stable is model A and the least stable is model B.

---

Model A:
{"formula": "NdDyCu", "functional": "PBE", "state": "relaxed", "mass_density_g_cm3": 7.900, "crystal_system": "monoclinic", "dos_ef_per_ev_fu": 3.0, "m_tot_mub_per_cell": 0.000, "lattice": [[6.110, -1.927, 0.000], [6.110, 1.927, 0.000], [-4.631, 0.000, 6.609]], "species": ["Nd", "Nd", "Dy", "Dy", "Cu", "Cu"], "fractional_positions": [[0.096, 0.096, 0.378], [0.904, 0.904, 0.622], [0.339, 0.339, 0.936], [0.661, 0.661, 0.064], [0.374, 0.374, 0.324], [0.626, 0.626, 0.676]]}

---

Model B:
{"formula": "NdDyCu", "functional": "PBE", "state": "relaxed", "mass_density_g_cm3": 7.533, "crystal_system": "trigonal", "dos_ef_per_ev_fu": 2.9, "m_tot_mub_per_cell": 0.000, "lattice": [[3.645, 0.000, 0.000], [-1.822, 3.157, 0.000], [0.000, 0.000, 7.094]], "species": ["Nd", "Dy", "Cu"], "fractional_positions": [[0.000, 0.000, 0.000], [0.333, 0.667, 0.576], [0.667, 0.333, 0.300]]}

---

Of them, the most stable is model A and the least stable is model B.

---

Model A:
{"formula": "NdDyCuNi", "functional": "PBE", "state": "relaxed", "mass_density_g_cm3": 8.421, "crystal_system": "cubic", "dos_ef_per_ev_fu": 2.5, "m_tot_mub_per_cell": 0.000, "lattice": [[0.000, 3.484, 3.484], [3.484, 0.000, 3.484], [3.484, 3.484, 0.000]], "species": ["Nd", "Dy", "Cu", "Ni"], "fractional_positions": [[0.000, 0.000, 0.000], [0.500, 0.500, 0.500], [0.250, 0.250, 0.250], [0.750, 0.750, 0.750]]}

---

Model B:
{"formula": "NdDyCuNi", "functional": "PBE", "state": "relaxed", "mass_density_g_cm3": 8.152, "crystal_system": "orthorhombic", "dos_ef_per_ev_fu": 3.4, "m_tot_mub_per_cell": 0.000, "lattice": [[4.438, 0.000, 0.000], [0.000, 1.893, 5.199], [0.000, -1.893, 5.199]], "species": ["Nd", "Dy", "Cu", "Ni"], "fractional_positions": [[0.000, 0.000, 0.000], [0.500, 0.722, 0.722], [0.500, 0.427, 0.427], [0.000, 0.287, 0.287]]}

---

Of them, the most stable is model B and the least stable is model A.

---

Model A:
{"formula": "NdDyCuPt", "functional": "PBE", "state": "relaxed", "mass_density_g_cm3": 10.536, "crystal_system": "cubic", "dos_ef_per_ev_fu": 2.1, "m_tot_mub_per_cell": 0.000, "lattice": [[0.000, 3.545, 3.545], [3.545, 0.000, 3.545], [3.545, 3.545, 0.000]], "species": ["Nd", "Dy", "Cu", "Pt"], "fractional_positions": [[0.000, 0.000, 0.000], [0.500, 0.500, 0.500], [0.750, 0.750, 0.750], [0.250, 0.250, 0.250]]}

---

Model B:
{"formula": "NdDyCuPt", "functional": "PBE", "state": "relaxed", "mass_density_g_cm3": 10.147, "crystal_system": "orthorhombic", "dos_ef_per_ev_fu": 3.1, "m_tot_mub_per_cell": 0.000, "lattice": [[4.450, 0.000, 0.000], [0.000, 1.926, 5.396], [0.000, -1.926, 5.396]], "species": ["Nd", "Dy", "Cu", "Pt"], "fractional_positions": [[0.000, 0.000, 0.000], [0.500, 0.723, 0.723], [0.500, 0.435, 0.435], [0.000, 0.280, 0.280]]}

---

Of them, the most stable is model B and the least stable is model A.

---

Model A:
{"formula": "NdDyZnCu", "functional": "PBE", "state": "relaxed", "mass_density_g_cm3": 7.892, "crystal_system": "tetragonal", "dos_ef_per_ev_fu": 3.6, "m_tot_mub_per_cell": 0.004, "lattice": [[3.569, 0.000, 0.000], [0.000, 3.569, 0.000], [0.000, 0.000, 7.197]], "species": ["Nd", "Dy", "Zn", "Cu"], "fractional_positions": [[0.000, 0.000, 0.000], [0.000, 0.000, 0.488], [0.500, 0.500, 0.730], [0.500, 0.500, 0.269]]}

---

Model B:
{"formula": "NdDyZnCu", "functional": "PBE", "state": "relaxed", "mass_density_g_cm3": 7.868, "crystal_system": "cubic", "dos_ef_per_ev_fu": 2.6, "m_tot_mub_per_cell": 0.000, "lattice": [[0.000, 3.583, 3.583], [3.583, 0.000, 3.583], [3.583, 3.583, 0.000]], "species": ["Nd", "Dy", "Zn", "Cu"], "fractional_positions": [[0.000, 0.000, 0.000], [0.500, 0.500, 0.500], [0.250, 0.250, 0.250], [0.750, 0.750, 0.750]]}

---

Of them, the most stable is model A and the least stable is model B.

---

Model A:
{"formula": "DyCu4Ni2", "functional": "PBE", "state": "relaxed", "mass_density_g_cm3": 9.251, "crystal_system": "monoclinic", "dos_ef_per_ev_fu": 2.9, "m_tot_mub_per_cell": 0.000, "lattice": [[3.959, -3.148, 0.000], [3.959, 3.148, 0.000], [-2.956, 0.000, 3.846]], "species": ["Dy", "Cu", "Cu", "Cu", "Cu", "Ni", "Ni"], "fractional_positions": [[0.000, 0.000, 0.000], [0.000, 0.388, 0.694], [0.000, 0.612, 0.306], [0.388, 0.000, 0.694], [0.612, 0.000, 0.306], [0.500, 0.500, 0.250], [0.500, 0.500, 0.750]]}

---

Model B:
{"formula": "DyCu4Ni2", "functional": "PBE", "state": "relaxed", "mass_density_g_cm3": 7.074, "crystal_system": "tetragonal", "dos_ef_per_ev_fu": 5.4, "m_tot_mub_per_cell": 0.000, "lattice": [[-3.551, 3.551, 2.486], [3.551, -3.551, 2.486], [3.551, 3.551, -2.486]], "species": ["Dy", "Cu", "Cu", "Cu", "Cu", "Ni", "Ni"], "fractional_positions": [[0.000, 0.000, 0.000], [0.272, 0.500, 0.772], [0.500, 0.272, 0.772], [0.500, 0.728, 0.228], [0.728, 0.500, 0.228], [0.250, 0.750, 0.500], [0.750, 0.250, 0.500]]}

---

Of them, the most stable is model A and the least stable is model B.

---

Model A:
{"formula": "DyCu2Ni4", "functional": "PBE", "state": "relaxed", "mass_density_g_cm3": 7.144, "crystal_system": "tetragonal", "dos_ef_per_ev_fu": 6.6, "m_tot_mub_per_cell": 1.366, "lattice": [[-3.502, 3.502, 2.485], [3.502, -3.502, 2.485], [3.502, 3.502, -2.485]], "species": ["Dy", "Cu", "Cu", "Ni", "Ni", "Ni", "Ni"], "fractional_positions": [[0.000, 0.000, 0.000], [0.250, 0.750, 0.500], [0.750, 0.250, 0.500], [0.278, 0.500, 0.778], [0.500, 0.278, 0.778], [0.500, 0.722, 0.222], [0.722, 0.500, 0.222]]}

---

Model B:
{"formula": "DyCu2Ni4", "functional": "PBE", "state": "relaxed", "mass_density_g_cm3": 9.359, "crystal_system": "monoclinic", "dos_ef_per_ev_fu": 7.7, "m_tot_mub_per_cell": 0.000, "lattice": [[3.931, -3.100, 0.000], [3.931, 3.100, 0.000], [-2.950, 0.000, 3.818]], "species": ["Dy", "Cu", "Cu", "Ni", "Ni", "Ni", "Ni"], "fractional_positions": [[0.000, 0.000, 0.000], [0.500, 0.500, 0.250], [0.500, 0.500, 0.750], [0.000, 0.386, 0.693], [0.000, 0.614, 0.307], [0.386, 0.000, 0.693], [0.614, 0.000, 0.307]]}

---

Of them, the most stable is model B and the least stable is model A.

---

Model A:
{"formula": "Dy3CuNi3", "functional": "PBE", "state": "relaxed", "mass_density_g_cm3": 8.846, "crystal_system": "hexagonal", "dos_ef_per_ev_fu": 3.8, "m_tot_mub_per_cell": 0.000, "lattice": [[8.614, 0.000, 0.000], [-4.307, 7.460, 0.000], [0.000, 0.000, 4.248]], "species": ["Dy", "Dy", "Dy", "Dy", "Dy", "Dy", "Cu", "Cu", "Ni", "Ni", "Ni", "Ni", "Ni", "Ni"], "fractional_positions": [[0.085, 0.684, 0.250], [0.316, 0.401, 0.250], [0.401, 0.085, 0.750], [0.599, 0.915, 0.250], [0.684, 0.599, 0.750], [0.915, 0.316, 0.750], [0.333, 0.667, 0.750], [0.667, 0.333, 0.250], [0.034, 0.855, 0.750], [0.145, 0.179, 0.750], [0.179, 0.034, 0.250], [0.821, 0.966, 0.750], [0.855, 0.821, 0.250], [0.966, 0.145, 0.250]]}

---

Model B:
{"formula": "Dy3CuNi3", "functional": "PBE", "state": "relaxed", "mass_density_g_cm3": 9.293, "crystal_system": "orthorhombic", "dos_ef_per_ev_fu": 4.3, "m_tot_mub_per_cell": 0.000, "lattice": [[2.032, -4.898, 0.000], [2.032, 4.898, 0.000], [0.000, 0.000, 13.054]], "species": ["Dy", "Dy", "Dy", "Dy", "Dy", "Dy", "Cu", "Cu", "Ni", "Ni", "Ni", "Ni", "Ni", "Ni"], "fractional_positions": [[0.015, 0.985, 0.750], [0.297, 0.703, 0.603], [0.297, 0.703, 0.897], [0.703, 0.297, 0.103], [0.703, 0.297, 0.397], [0.985, 0.015, 0.250], [0.000, 0.000, 0.000], [0.000, 0.000, 0.500], [0.278, 0.722, 0.250], [0.416, 0.584, 0.091], [0.416, 0.584, 0.409], [0.584, 0.416, 0.591], [0.584, 0.416, 0.909], [0.722, 0.278, 0.750]]}

---

Of them, the most stable is model B and the least stable is model A.

---

Model A:
{"formula": "Dy8Cu2Ni", "functional": "PBE", "state": "relaxed", "mass_density_g_cm3": 8.869, "crystal_system": "monoclinic", "dos_ef_per_ev_fu": 10.9, "m_tot_mub_per_cell": 0.000, "lattice": [[8.594, -2.527, 0.000], [8.594, 2.527, 0.000], [-1.733, 0.000, 6.403]], "species": ["Dy", "Dy", "Dy", "Dy", "Dy", "Dy", "Dy", "Dy", "Cu", "Cu", "Ni"], "fractional_positions": [[0.032, 0.032, 0.287], [0.201, 0.201, 0.828], [0.336, 0.336, 0.524], [0.410, 0.410, 0.057], [0.590, 0.590, 0.943], [0.664, 0.664, 0.476], [0.799, 0.799, 0.172], [0.968, 0.968, 0.713], [0.187, 0.187, 0.232], [0.813, 0.813, 0.768], [0.500, 0.500, 0.500]]}

---

Model B:
{"formula": "Dy8Cu2Ni", "functional": "PBE", "state": "relaxed", "mass_density_g_cm3": 8.382, "crystal_system": "monoclinic", "dos_ef_per_ev_fu": 15.0, "m_tot_mub_per_cell": 0.000, "lattice": [[4.118, -6.521, 0.000], [4.118, 6.521, 0.000], [-2.250, 0.000, 5.480]], "species": ["Dy", "Dy", "Dy", "Dy", "Dy", "Dy", "Dy", "Dy", "Cu", "Cu", "Ni"], "fractional_positions": [[0.000, 0.000, 0.000], [0.013, 0.268, 0.587], [0.170, 0.557, 0.202], [0.268, 0.013, 0.587], [0.455, 0.711, 0.836], [0.557, 0.170, 0.202], [0.711, 0.455, 0.836], [0.721, 0.721, 0.393], [0.049, 0.659, 0.690], [0.659, 0.049, 0.690], [0.358, 0.358, 0.001]]}

---

Of them, the most stable is model A and the least stable is model B.